# 1
NdCl5, relaxed, DFT PBE-GGA; space group = P1 (1); ΔE_f (raw) = -34.2 kcal/mol of atoms
1.0
4.204 0.000 0.000
0.038 5.492 0.000
1.925 0.408 9.484
Nd Cl
1 5
Cartesian
0.000 0.000 0.000
0.019 2.746 0.001
1.272 2.224 4.118
2.140 5.486 1.801
4.026 0.414 7.684
4.909 3.683 5.369

---

# 2
NdCl4, relaxed, DFT PBE-GGA; space group = Pm-3m (221); ΔE_f (raw) = -34.4 kcal/mol of atoms
1.0
5.494 0.000 0.000
0.000 5.494 0.000
0.000 0.000 5.494
Nd Cl
1 4
Cartesian
0.000 0.000 0.000
0.000 0.000 2.747
0.000 2.747 0.000
2.747 0.000 0.000
2.747 2.747 2.747

---

# 3
Nd3Cl2, relaxed, DFT PBE-GGA; space group = R-3c (167); ΔE_f (raw) = -24.8 kcal/mol of atoms
1.0
3.564 2.058 6.399
-3.564 2.058 6.399
0.000 -4.115 6.399
Nd Cl
6 4
Cartesian
-2.351 0.042 7.999
-1.212 -2.015 11.198
1.139 -2.058 7.999
-1.139 2.058 11.198
1.212 2.015 7.999
2.351 -0.042 11.198
0.000 0.000 3.177
0.000 0.000 6.421
0.000 0.000 12.775
0.000 0.000 16.019

---

# 4
Nd7NiCl12, relaxed, DFT PBE-GGA; space group = R-3 (148); ΔE_f (raw) = -43.2 kcal/mol of atoms
1.0
7.397 4.270 3.333
-7.397 4.270 3.333
0.000 -8.541 3.333
Nd Ni Cl
7 1 12
Cartesian
0.000 0.000 0.000
-1.512 -1.649 3.441
-0.673 2.134 3.441
2.184 -0.484 3.441
-2.184 0.484 6.557
0.673 -2.134 6.557
1.512 1.649 6.557
0.000 0.000 4.999
-2.251 0.532 1.594
0.664 -2.216 1.594
-3.879 -1.111 4.924
-0.977 -3.915 5.075
1.587 1.683 1.594
-2.902 2.804 5.075
2.902 -2.804 4.924
-1.587 -1.683 8.404
0.977 3.915 4.924
3.879 1.111 5.075
-0.664 2.216 8.404
2.251 -0.532 8.404

---

# 5
Nd8NiOs3Cl4, relaxed, DFT PBE-GGA; space group = C2/m (12); ΔE_f (raw) = -18.6 kcal/mol of atoms
1.0
7.037 -4.064 0.000
7.037 4.064 0.000
-4.696 0.000 7.623
Nd Ni Os Cl
8 1 3 4
Cartesian
3.502 2.056 5.375
-0.002 0.000 5.414
2.315 0.000 2.248
5.875 2.056 2.248
3.502 -2.056 5.375
7.062 0.000 5.375
9.379 0.000 2.209
5.875 -2.056 2.248
4.689 0.000 3.812
-2.348 0.000 3.812
1.170 2.032 3.812
1.170 -2.032 3.812
0.000 0.000 0.000
3.518 2.032 0.000
3.518 -2.032 0.000
7.037 0.000 0.000

---

# 6
Nd8Ni3OsCl4, relaxed, DFT PBE-GGA; space group = R-3m (166); ΔE_f (raw) = -20.8 kcal/mol of atoms
1.0
4.047 2.337 7.527
-4.047 2.337 7.527
0.000 -4.673 7.527
Nd Ni Os Cl
8 3 1 4
Cartesian
0.000 0.000 5.262
-2.020 -1.166 12.837
0.000 -2.332 9.744
-2.020 1.166 9.744
2.020 -1.166 12.837
0.000 2.332 12.837
2.020 1.166 9.744
0.000 0.000 17.319
-4.047 0.000 11.290
-2.023 1.168 3.763
2.023 1.168 3.763
0.000 0.000 11.290
0.000 0.000 0.000
-2.023 -1.168 7.527
-2.023 1.168 15.054
0.000 2.337 7.527

---

# 7
Nd8NiP3Cl4, relaxed, DFT PBE-GGA; space group = R-3m (166); ΔE_f (raw) = -32.6 kcal/mol of atoms
1.0
4.136 2.388 6.953
-4.136 2.388 6.953
0.000 -4.775 6.953
Nd Ni P Cl
8 1 3 4
Cartesian
0.000 0.000 4.989
-2.017 -1.164 11.934
0.000 -2.329 8.925
-2.017 1.164 8.925
2.017 -1.164 11.934
0.000 2.329 11.934
2.017 1.164 8.925
0.000 0.000 15.870
0.000 0.000 10.430
-4.136 0.000 10.430
-2.068 1.194 3.476
2.068 1.194 3.477
0.000 0.000 0.000
-2.068 -1.194 6.953
-2.068 1.194 13.906
0.000 2.388 6.953

---

# 8
Nd6Ni2PdCl3, relaxed, DFT PBE-GGA; space group = C2/m (12); ΔE_f (raw) = -22.2 kcal/mol of atoms
1.0
9.515 -2.045 0.000
9.515 2.045 0.000
-2.875 0.000 8.350
Nd Ni Pd Cl
6 2 1 3
Cartesian
-0.405 0.000 1.990
4.875 0.000 3.666
3.923 0.000 7.360
12.232 0.000 0.990
11.280 0.000 4.684
16.560 0.000 6.360
2.214 0.000 2.824
13.941 0.000 5.526
9.515 0.000 0.000
0.801 0.000 6.965
8.078 0.000 4.175
15.354 0.000 1.385